Here is a relaxed ScBi3Pt crystal from Alexandria. Energies are from GGA-PBE.

Values from the calculation:
Energy of formation from the pure elements (eV per atom): 0.27
Theoretical density (g cm⁻³): 9.0
DOS(E_F) (states/eV/cell): 4.65
Energy above the lowest structure with this stoichiometry (eV per atom): 0.000

a = 5.4217 Å, b = 5.4217 Å, c = 5.4217 Å
α = 90.00°, β = 90.00°, γ = 90.00°
Element x y z (fractional)
Sc 0.0000 0.0000 0.0000
Bi 0.0000 0.5000 0.5000
Bi 0.5000 0.0000 0.5000
Bi 0.5000 0.5000 0.0000
Pt 0.5000 0.5000 0.5000

***

Here is a relaxed TbPr6Er crystal from Alexandria. Energies are from GGA-PBE.

Values from the calculation:
Energy of formation from the pure elements (eV per atom): 0.01
Theoretical density (g cm⁻³): 7.0
DOS(E_F) (states/eV/cell): 13.34

a = 5.1852 Å, b = 5.1852 Å, c = 10.3746 Å
α = 90.00°, β = 90.00°, γ = 90.00°
Element x y z (fractional)
Tb 0.0000 0.0000 0.0000
Pr 0.0000 0.5000 0.2510
Pr 0.0000 0.5000 0.7490
Pr 0.5000 0.0000 0.2510
Pr 0.5000 0.0000 0.7490
Pr 0.5000 0.5000 0.0000
Pr 0.5000 0.5000 0.5000
Er 0.0000 0.0000 0.5000

***

Here is a relaxed YSnPt crystal from Alexandria. Energies are from GGA-PBE.

Values from the calculation:
Energy of formation from the pure elements (eV per atom): -1.03
Theoretical density (g cm⁻³): 9.9
DOS(E_F) (states/eV/cell): 10.48

a = 13.8073 Å, b = 3.8458 Å, c = 7.6279 Å
α = 90.00°, β = 90.00°, γ = 90.00°
Element x y z (fractional)
Y 0.0524 0.0000 0.2208
Y 0.2500 0.0000 0.8272
Y 0.4476 0.0000 0.2208
Y 0.5524 0.0000 0.7792
Y 0.7500 0.0000 0.1728
Y 0.9476 0.0000 0.7792
Sn 0.1178 0.5000 0.5600
Sn 0.2500 0.5000 0.1664
Sn 0.3822 0.5000 0.5600
Sn 0.6178 0.5000 0.4400
Sn 0.7500 0.5000 0.8336
Sn 0.8822 0.5000 0.4400
Pt 0.0944 0.5000 0.9247
Pt 0.2500 0.0000 0.4281
Pt 0.4056 0.5000 0.9247
Pt 0.5944 0.5000 0.0753
Pt 0.7500 0.0000 0.5719
Pt 0.9056 0.5000 0.0753

***

Here is a relaxed Zn2OsRu crystal from Alexandria. Energies are from GGA-PBE.

Values from the calculation:
Energy of formation from the pure elements (eV per atom): 0.72
Theoretical density (g cm⁻³): 11.4
DOS(E_F) (states/eV/cell): 9.12
Energy above the lowest structure with this stoichiometry (eV per atom): 0.716

a = 5.5276 Å, b = 5.5276 Å, c = 5.5276 Å
α = 102.25°, β = 102.25°, γ = 125.14°
Element x y z (fractional)
Zn 0.1240 0.6250 0.9990
Zn 0.3750 0.3740 0.4990
Zn 0.6260 0.1250 0.0010
Zn 0.8750 0.8760 0.5010
Os 0.2500 0.7500 0.5000
Os 0.5000 0.5000 0.0000
Ru 0.0000 0.0000 0.0000
Ru 0.7500 0.2500 0.5000

***

- Among the records above, which one has the lowest theoretical density?
  TbPr6Er

***

- What is the formula in the fourth record?
  Zn2OsRu

***

- The highest energy of formation from the pure elements belongs to which entry?
  Zn2OsRu

***

- Which value of theoretical density does entry 4 give?
  11.4 g cm⁻³